[1]
First-principles (PBE) data for EuBeAu2 after structural relaxation, as listed in the Alexandria database.

For the energy of formation, the calculation gives -0.4216 eV/atom. For the total energy, the calculation gives -5.5604 eV per atom. The calculation puts the total magnetization at 7.05 μB/f.u.

The space group is R-3m (No. 166, hexagonal axes) and the conventional cell measures 4.2978, 4.2978 and 15.9394 Å, with angles of 90.00, 90.00 and 120.00 degrees. The asymmetric unit holds Eu at (0.0000, 0.0000, 0.0000), Be at (0.0000, 0.0000, 0.5000) and Au at (0.0000, 0.0000, 0.2073).


[2]
First-principles (PBE) data for RbTe2Pt after structural relaxation, as listed in the Alexandria database.

For the total energy, the calculation gives -3.8100 eV per atom. The calculation puts the total magnetization at 0.00 μB/f.u. The uncorrected formation energy comes out at -487 meV per atom.

The space group is R3m (No. 160, hexagonal axes) and the conventional cell measures 4.1913, 4.1913 and 24.9708 Å, with angles of 90.00, 90.00 and 120.00 degrees. The asymmetric unit holds Rb at (0.0000, 0.0000, 0.0000), Te at (0.0000, 0.0000, 0.2221), Te at (0.0000, 0.0000, 0.4473) and Pt at (0.0000, 0.0000, 0.8340).


[3]
First-principles (PBE) data for Cs3Mg2Br7 after structural relaxation, as listed in the Alexandria database.

For the total energy, the calculation gives -3.0830 eV per atom. The calculation puts the total magnetization at 0.00 μB/f.u. The uncorrected formation energy comes out at -1628 meV per atom.

The space group is Cmmm (No. 65) and the conventional cell measures 5.517, 28.693 and 5.409 Å, with angles of 90.00, 90.00 and 90.00 degrees. The asymmetric unit holds Cs at (0.000, 0.000, 0.000), Cs at (0.000, 0.181, 0.000), Mg at (0.000, 0.403, 0.500), Br at (0.000, 0.093, 0.500), Br at (0.000, 0.311, 0.500), Br at (0.000, 0.406, 0.000) and Br at (0.000, 0.500, 0.500).


no.,volume (Å³ per atom),ρ (Mg/m³),density of states at the Fermi level (states/eV/f.u.)
1,21.25,10.8,10.286
2,31.66,7.0,3.227
3,35.68,3.9,0.000